#w
First-principles (PBE) data for a geometry-optimized MnTePt3 structure, as listed in the Alexandria database.

Calculated values
The space-group type is No. 221.

a = 4.9368 Å, b = 4.9368 Å, c = 4.9368 Å
α = 90.00°, β = 90.00°, γ = 90.00°
Fractional positions:
Pt (0.0000, 0.0000, 0.5000)
Mn (0.5000, 0.5000, 0.5000)
Te (0.0000, 0.0000, 0.0000)
Pt (0.0000, 0.5000, 0.0000)
Pt (0.5000, 0.0000, 0.0000)



#x
First-principles (PBE) data for a geometry-optimized MnTePt3 structure, as listed in the Alexandria database.

Calculated values
The space-group type is No. 221.

a = 4.6227 Å, b = 4.6227 Å, c = 4.6227 Å
α = 90.00°, β = 90.00°, γ = 90.00°
Fractional positions:
Pt (0.0000, 0.0000, 0.5000)
Pt (0.5000, 0.0000, 0.0000)
Mn (0.0000, 0.0000, 0.0000)
Pt (0.0000, 0.5000, 0.0000)
Te (0.5000, 0.5000, 0.5000)



Most stable structure: #w